First-principles (GGA+U) data for a relaxed Cs5MnF8 crystal, as listed in the Alexandria database.

## Properties
- Energy: -4.49 eV/atom

The structure in CIF format:
```
data_Cs5MnF8
_chemical_formula_sum 'Cs10 Mn2 F16'
_cell_length_a 8.6731
_cell_length_b 8.6731
_cell_length_c 9.3145
_cell_angle_alpha 90.00
_cell_angle_beta 90.00
_cell_angle_gamma 90.00
_space_group_name_H-M_alt 'I -4'
_space_group_IT_number 82
loop_
_space_group_symop_operation_xyz
'x,y,z'
'y,-x,-z'
'-x,-y,z'
'-y,x,-z'
'x+1/2,y+1/2,z+1/2'
'y+1/2,-x+1/2,-z+1/2'
'-x+1/2,-y+1/2,z+1/2'
'-y+1/2,x+1/2,-z+1/2'
loop_
_atom_site_label
_atom_site_type_symbol
_atom_site_fract_x
_atom_site_fract_y
_atom_site_fract_z
_atom_site_occupancy
Cs1 Cs 0.0000 0.0000 0.0000 1
Cs2 Cs 0.1312 0.7288 0.6112 1
Mn1 Mn 0.0000 0.5000 0.2500 1
F1 F 0.0360 0.7091 0.2774 1
F2 F 0.0952 0.6861 0.9256 1
```